[1]
This record from Alexandria via LeMat-Bulk describes crystalline Pr2ThCuTe5 at its relaxed geometry. The functional is PBE-GGA.

The structure in POSCAR format:
```
Pr2ThCuTe5
1.0
2.165 -9.703 0.000
2.165 9.703 0.000
0.000 0.000 13.247
Pr Th Cu Te
4 2 2 10
direct
0.109 0.891 0.500
0.123 0.877 0.122
0.877 0.123 0.622
0.891 0.109 0.000
0.193 0.807 0.825
0.807 0.193 0.325
0.429 0.571 0.270
0.571 0.429 0.770
0.041 0.959 0.874
0.288 0.712 0.495
0.316 0.684 0.154
0.357 0.643 0.816
0.500 0.500 0.100
0.500 0.500 0.600
0.643 0.357 0.316
0.684 0.316 0.654
0.712 0.288 0.995
0.959 0.041 0.374
```

Output
The calculation puts the raw total energy at -94.0 eV for the cell shown. The calculation puts the volume at 30.922 Å³ per atom. As for the space group: No. 36. The calculation puts the uncorrected formation energy at -1.133 eV per atom.

---

[2]
This record from Alexandria via LeMat-Bulk describes crystalline Sc2TcOs at its relaxed geometry. The functional is PBE-GGA.

The structure in POSCAR format:
```
Sc2TcOs
1.0
0.000 3.220 3.220
3.220 0.000 3.220
3.220 3.220 0.000
Sc Tc Os
2 1 1
direct
0.000 0.000 0.000
0.250 0.250 0.250
0.500 0.500 0.500
0.750 0.750 0.750
```

Output
The calculation puts the raw total energy at -34.7 eV for the cell shown. The calculation puts the volume at 16.687 Å³ per atom. As for the space group: No. 216. Its formation energy from the elements is -0.109 eV per atom.

---

[3]
This record from Alexandria via LeMat-Bulk describes crystalline Nb2MoHIr at its relaxed geometry. The functional is PBE-GGA.

The structure in POSCAR format:
```
Nb2MoHIr
1.0
4.408 0.000 0.000
0.000 4.408 0.000
0.000 0.000 3.574
Nb Mo H Ir
2 1 1 1
direct
0.000 0.500 0.000
0.500 0.000 0.000
0.000 0.000 0.500
0.500 0.500 0.000
0.500 0.500 0.500
```

Output
The calculation puts the raw total energy at -44.1 eV for the cell shown. The calculation puts the volume at 13.889 Å³ per atom. As for the space group: No. 123.

---

[4]
This record from Alexandria via LeMat-Bulk describes crystalline ZnCd2Ag2 at its relaxed geometry. The functional is PBE-GGA.

The structure in POSCAR format:
```
ZnCd2Ag2
1.0
-1.930 1.930 7.266
1.930 -1.930 7.266
1.930 1.930 -7.266
Zn Cd Ag
1 2 2
direct
0.000 0.000 0.000
0.402 0.402 0.000
0.598 0.598 0.000
0.250 0.750 0.500
0.750 0.250 0.500
```

Output
The calculation puts the raw total energy at -8.1 eV for the cell shown. The calculation puts the volume at 21.657 Å³ per atom. As for the space group: No. 139. Its formation energy from the elements is 0.151 eV per atom.